No. 1
This record from Alexandria via LeMat-Bulk describes a relaxed structure of ZrP2SO. The functional is PBE.

## Properties
- Formation energy from raw total energies: -0.072 eV per atom
- Distance to the lowest polymorph of the same formula: 76 kJ/mol of formula units

Cell: 5.207 5.207 3.956 Å, 90.00 90.00 90.00°
Space group P4/mmm (No. 123)
Unique sites:
Zr 0.000 0.000 0.000 x1
P 0.000 0.500 0.000 x2
S 0.500 0.500 0.500 x1
O 0.000 0.000 0.500 x1

=====

No. 2
This record from Alexandria via LeMat-Bulk describes a relaxed structure of Tb12Tm3Al. The functional is PBE.

## Properties
- Energy relative to the elements: -20 meV/atom

Cell: 4.933 4.933 20.009 Å, 90.00 90.00 90.00°
Space group P4/mmm (No. 123)
Unique sites:
Tb 0.000 0.000 0.000 x1
Tb 0.000 0.000 0.244 x2
Tb 0.000 0.000 0.500 x1
Tb 0.000 0.500 0.118 x4
Tb 0.000 0.500 0.373 x4
Tm 0.500 0.500 0.247 x2
Tm 0.500 0.500 0.500 x1
Al 0.500 0.500 0.000 x1

=====

No. 3
This record from Alexandria via LeMat-Bulk describes a relaxed structure of SrMg2VCo. The functional is PBE.

## Properties
- Energy relative to the elements: 1305 meV/atom

Cell: 5.205 5.205 5.686 Å, 90.00 90.00 90.00°
Space group P4/mmm (No. 123)
Unique sites:
Sr 0.000 0.000 0.000 x1
Mg 0.000 0.500 0.500 x2
V 0.000 0.000 0.500 x1
Co 0.500 0.500 0.000 x1

=====

No. 4
This record from Alexandria via LeMat-Bulk describes a relaxed structure of ThHg3Pd7. The functional is PBE.

## Properties
- Energy relative to the elements: -240 meV/atom

Cell: 9.050 9.663 5.502 Å, 90.00 114.04 90.00°
Space group C2/m (No. 12)
Unique sites:
Th 0.000 0.000 0.000 x2
Hg 0.000 0.281 0.500 x4
Hg 0.000 0.500 0.000 x2
Pd 0.000 0.000 0.500 x2
Pd 0.174 0.258 0.178 x8
Pd 0.210 0.500 0.545 x4

=====

No. 5
This record from Alexandria via LeMat-Bulk describes a relaxed structure of Tb3Tm4. The functional is PBE.

## Properties
- Energy relative to the elements: 22 meV/atom

Cell: 11.092 4.968 7.856 Å, 90.00 98.16 90.00°
Space group C2/m (No. 12)
Unique sites:
Tb 0.000 0.000 0.000 x2
Tb 0.071 0.500 0.715 x4
Tm 0.143 0.000 0.429 x4
Tm 0.214 0.500 0.144 x4

=====

No. 6
This record from Alexandria via LeMat-Bulk describes a relaxed structure of Cs2Te. The functional is PBE.

## Properties
- Formation energy from raw total energies: -1.020 eV per atom

Cell: 9.604 5.851 11.616 Å, 90.00 90.00 90.00°
Space group Pnma (No. 62)
Unique sites:
Cs 0.028 0.250 0.171 x4
Cs 0.145 0.250 0.572 x4
Te 0.247 0.250 0.885 x4

=====

No. 7
This record from Alexandria via LeMat-Bulk describes a relaxed structure of KZrTiH2. The functional is PBE.

Cell: 4.253 4.253 5.046 Å, 90.00 90.00 90.00°
Space group P4/mmm (No. 123)
Unique sites:
K 0.000 0.000 0.000 x1
Zr 0.500 0.500 0.000 x1
Ti 0.500 0.500 0.500 x1
H 0.000 0.500 0.500 x2

=====

No. 8
This record from Alexandria via LeMat-Bulk describes a relaxed structure of NaVSe2Br. The functional is PBE.

## Properties
- Formation energy from raw total energies: -0.638 eV per atom
- Distance to the lowest polymorph of the same formula: 0 kJ/mol of formula units

Cell: 4.811 4.811 5.578 Å, 90.00 90.00 90.00°
Space group P4/mmm (No. 123)
Unique sites:
Na 0.000 0.000 0.000 x1
V 0.500 0.500 0.500 x1
Se 0.000 0.500 0.500 x2
Br 0.500 0.500 0.000 x1

=====

No. 9
This record from Alexandria via LeMat-Bulk describes a relaxed structure of AgPd2I. The functional is PBE.

## Properties
- Formation energy from raw total energies: 0.243 eV per atom
- Distance to the lowest polymorph of the same formula: 19 kJ/mol of formula units

Cell: 4.186 4.186 18.896 Å, 90.00 90.00 90.00°
Space group I-42d (No. 122)
Unique sites:
Ag 0.000 0.000 0.000 x4
Pd 0.241 0.250 0.625 x8
I 0.000 0.000 0.500 x4

=====

No. 10
This record from Alexandria via LeMat-Bulk describes a relaxed structure of K2Cd2Bi. The functional is PBE.

## Properties
- Energy relative to the elements: 63 meV/atom
- Distance to the lowest polymorph of the same formula: 114 kJ/mol of formula units

Cell: 9.943 9.943 3.723 Å, 90.00 90.00 90.00°
Space group P4/mbm (No. 127)
Unique sites:
K 0.180 0.320 0.000 x4
Cd 0.114 0.614 0.500 x4
Bi 0.000 0.000 0.000 x2

=====

No. 11
This record from Alexandria via LeMat-Bulk describes a relaxed structure of KTa2Ru2. The functional is PBE.

## Properties
- Energy relative to the elements: 316 meV/atom
- Distance to the lowest polymorph of the same formula: 0 kJ/mol of formula units

Cell: 8.021 8.021 2.944 Å, 90.00 90.00 90.00°
Space group P4/mbm (No. 127)
Unique sites:
K 0.000 0.000 0.000 x2
Ta 0.138 0.362 0.000 x4
Ru 0.143 0.643 0.500 x4

=====

No. 12
This record from Alexandria via LeMat-Bulk describes a relaxed structure of LaPb3Au8. The functional is PBE.

## Properties
- Energy relative to the elements: -265 meV/atom
- Distance to the lowest polymorph of the same formula: 0 kJ/mol of formula units

Cell: 5.7537 5.7537 28.0310 Å, 90.00 90.00 120.00°
Space group R3m (No. 160, hexagonal axes)
Unique sites:
La 0.0000 0.0000 0.0000 x3
Pb 0.0000 0.0000 0.1263 x3
Pb 0.0000 0.0000 0.4957 x3
Pb 0.0000 0.0000 0.6199 x3
Au 0.0000 0.0000 0.3110 x3
Au 0.0000 0.0000 0.8110 x3
Au 0.0009 0.5005 0.5617 x9
Au 0.1671 0.3342 0.3940 x9

=====

no.,E_tot (eV for the cell shown)
1,-28.82
2,-73.05
3,-14.57
4,-94.64
5,-63.25
6,-31.64
7,-19.57
8,-22.27
9,-55.27
10,-15.19
11,-83.55
12,-136.36